Material: K3ScC
Method: DFT, PBE
State: relaxed

Output
E_tot	-1.540	eV per atom
spin magnetization	2.263	Bohr magnetons per cell

a = 6.7936 Å, b = 6.7936 Å, c = 6.7936 Å
α = 90.00°, β = 90.00°, γ = 90.00°
With the nearest neighbours (Å) after each atom.
Fractional coordinates of all 5 atoms:
K 0.0000 0.0000 0.5000  2 Sc 3.40
K 0.0000 0.5000 0.0000  2 Sc 3.40
K 0.5000 0.0000 0.0000  2 Sc 3.40
Sc 0.0000 0.0000 0.0000  6 K 3.40
C 0.5000 0.5000 0.5000  12 K 4.80